1.
Compound: LaVCN2
Source: the Alexandria database
Functional: GGA-PBE
Structure: optimized geometry

Properties
As for the space group: No. 123. The value obtained for the uncorrected formation energy is 2.1143 eV/atom. The calculation puts the total energy at -29.35 eV for the cell shown. The density of states at the Fermi level comes out at 4.4 states/eV/cell.

abc: 4.2760 4.4024 4.2760
angles: 90.00 90.00 90.00
Last column: nearest neighbours and their distance in Å.
Positions (direct):
N 0.0000 0.0000 0.5000  2 La 2.14
N 0.5000 0.0000 0.0000  2 La 2.14
C 0.0000 0.5000 0.0000  2 La 2.20
V 0.5000 0.5000 0.5000  4 C 3.02, 8 N 3.07
La 0.0000 0.0000 0.0000  4 N 2.14, 2 C 2.20

---

2.
Compound: TbY2Os
Source: the Alexandria database
Functional: GGA-PBE
Structure: optimized geometry

Properties
As for the space group: No. 123. The calculation puts the total energy at -29.12 eV for the cell shown. For the formation energy, the calculation gives -84 meV per atom. The density of states at the Fermi level comes out at 3.2 states/eV/cell.

abc: 3.4122 3.4122 9.2433
angles: 90.00 90.00 90.00
Last column: nearest neighbours and their distance in Å.
Positions (direct):
Y 0.0000 0.0000 0.1803  4 Os 2.93
Y 0.0000 0.0000 0.8197  4 Os 2.93
Tb 0.5000 0.5000 0.5000  4 Tb 3.41, 8 Y 3.81
Os 0.5000 0.5000 0.0000  8 Y 2.93

---

3.
Compound: CsV3Re
Source: the Alexandria database
Functional: GGA-PBE
Structure: optimized geometry

Properties
As for the space group: No. 221. The calculation puts the total energy at -33.74 eV for the cell shown. For the formation energy, the calculation gives 1383 meV per atom. The density of states at the Fermi level comes out at 8.3 states/eV/cell.

abc: 4.9818 4.9818 4.9818
angles: 90.00 90.00 90.00
Last column: nearest neighbours and their distance in Å.
Positions (direct):
V 0.0000 0.0000 0.5000  2 Re 2.49
V 0.0000 0.5000 0.0000  2 Re 2.49
V 0.5000 0.0000 0.0000  2 Re 2.49
Cs 0.5000 0.5000 0.5000  12 V 3.52
Re 0.0000 0.0000 0.0000  6 V 2.49

---

Among the records above, which one has the highest total energy? TbY2Os